1.
PmZn4Au2: optimized geometry, PBE-GGA.

The space group is P4_2/mnm (No. 136) and the conventional cell measures 7.693, 7.693 and 4.394 Å, with angles of 90.00, 90.00 and 90.00 degrees. The inequivalent atoms are Pm at (0.000, 0.000, 0.000), Zn at (0.097, 0.353, 0.500) and Au at (0.211, 0.789, 0.500).

As for the calculated formation energy: -0.41 eV/atom.

=====

2.
Sr3Ca2Pd: optimized geometry, PBE-GGA.

The space group is C2/c (No. 15) and the conventional cell measures 20.833, 6.272 and 8.342 Å, with angles of 90.00, 101.56 and 90.00 degrees. The inequivalent atoms are Sr at (0.000, 0.001, 0.250), Sr at (0.104, 0.500, 0.052), Ca at (0.219, 0.000, 0.109) and Pd at (0.000, 0.499, 0.750).

As for the calculated formation energy: -0.16 eV/atom.

=====

3.
Tb3PmTl3: optimized geometry, PBE-GGA.

The space group is P6_3/m (No. 176) and the conventional cell measures 9.5201, 9.5201 and 5.2421 Å, with angles of 90.00, 90.00 and 120.00 degrees. The inequivalent atoms are Tb at (0.0007, 0.7662, 0.2500), Pm at (0.3333, 0.6667, 0.7500) and Tl at (0.0702, 0.4485, 0.2500).

As for the calculated formation energy: -0.25 eV/atom. For the energy above the lowest structure with this stoichiometry, the calculation gives 0.014 eV/atom.

=====

4.
Dy15HoSc4: optimized geometry, PBE-GGA.

The space group is P4/mmm (No. 123) and the conventional cell measures 4.933, 4.933 and 24.577 Å, with angles of 90.00, 90.00 and 90.00 degrees. The inequivalent atoms are Dy at (0.000, 0.000, 0.000), Dy at (0.000, 0.000, 0.203), Dy at (0.000, 0.000, 0.401), Dy at (0.000, 0.500, 0.103), Dy at (0.000, 0.500, 0.301), Dy at (0.000, 0.500, 0.500), Ho at (0.500, 0.500, 0.000), Sc at (0.500, 0.500, 0.202) and Sc at (0.500, 0.500, 0.401).

As for the calculated formation energy: 0.04 eV/atom.

=====

5.
Ce2MnRu: optimized geometry, PBE-GGA.

The space group is R-3m (No. 166, hexagonal axes) and the conventional cell measures 3.0570, 3.0570 and 27.5926 Å, with angles of 90.00, 90.00 and 120.00 degrees. The inequivalent atoms are Ce at (0.0000, 0.0000, 0.0832), Mn at (0.0000, 0.0000, 0.0000) and Ru at (0.0000, 0.0000, 0.5000).

As for the calculated formation energy: 0.35 eV/atom.

=====

6.
ReB2H6: optimized geometry, PBE-GGA.

The space group is P-1 (No. 2) and the conventional cell measures 2.807, 4.287 and 5.381 Å, with angles of 78.45, 86.01 and 74.01 degrees. The inequivalent atoms are Re at (0.000, 0.000, 0.000), B at (0.257, 0.404, 0.121), H at (0.008, 0.173, 0.272), H at (0.297, 0.437, 0.337) and H at (0.440, 0.141, 0.775).

For the energy above the lowest structure with this stoichiometry, the calculation gives 0.000 eV/atom.

=====

7.
Pm2GaCoC: optimized geometry, PBE-GGA.

The space group is P2_1/m (No. 11) and the conventional cell measures 6.325, 4.007 and 8.587 Å, with angles of 90.00, 110.01 and 90.00 degrees. The inequivalent atoms are Pm at (0.221, 0.250, 0.382), Pm at (0.223, 0.250, 0.966), Ga at (0.306, 0.750, 0.700), Co at (0.491, 0.750, 0.258) and C at (0.195, 0.750, 0.172).

As for the calculated formation energy: -0.31 eV/atom.

=====

8.
Ho4Er2TmTh: optimized geometry, PBE-GGA.

The space group is Pmmm (No. 47) and the conventional cell measures 4.981, 4.992 and 9.962 Å, with angles of 90.00, 90.00 and 90.00 degrees. The inequivalent atoms are Ho at (0.000, 0.000, 0.249), Ho at (0.500, 0.500, 0.250), Er at (0.000, 0.500, 0.500), Er at (0.500, 0.000, 0.000), Tm at (0.500, 0.000, 0.500) and Th at (0.000, 0.500, 0.000).

As for the calculated formation energy: 0.03 eV/atom.

=====

Looking at E for the records above, in order, we have -38.6; -60.8; -55.0; -98.2; -86.8; -43.1; -60.8; -39.1 eV per cell.